No. 1
{"formula": "LiLaLuAg", "functional": "PBE-GGA", "state": "optimized geometry", "ef_ev_per_atom": -0.0710, "dft_energy_ev_per_cell": -14.50, "cell": [[0.0000, 3.7211, 3.7211], [3.7211, 0.0000, 3.7211], [3.7211, 3.7211, 0.0000]], "species": ["Li", "La", "Lu", "Ag"], "fractional_positions": [[0.0000, 0.0000, 0.0000], [0.7500, 0.7500, 0.7500], [0.2500, 0.2500, 0.2500], [0.5000, 0.5000, 0.5000]]}

---

No. 2
{"formula": "NaMoHCl2", "functional": "PBE-GGA", "state": "optimized geometry", "dft_energy_ev_per_cell": -14.54, "cell": [[5.1641, 0.0000, 0.0000], [0.0000, 5.1641, 0.0000], [0.0000, 0.0000, 5.5883]], "species": ["Na", "Mo", "H", "Cl", "Cl"], "fractional_positions": [[0.0000, 0.0000, 0.0000], [0.0000, 0.0000, 0.5000], [0.5000, 0.5000, 0.5000], [0.0000, 0.5000, 0.0000], [0.5000, 0.0000, 0.0000]]}

---

No. 3
{"formula": "NaHf3Se", "functional": "PBE-GGA", "state": "optimized geometry", "e_form_raw_mev_per_atom": 1532, "dft_energy_ev_per_cell": -27.00, "cell": [[4.9632, 0.0000, 0.0000], [0.0000, 4.9632, 0.0000], [0.0000, 0.0000, 4.9632]], "species": ["Na", "Hf", "Hf", "Hf", "Se"], "fractional_positions": [[0.0000, 0.0000, 0.0000], [0.0000, 0.0000, 0.5000], [0.0000, 0.5000, 0.0000], [0.5000, 0.0000, 0.0000], [0.5000, 0.5000, 0.5000]]}

---

No. 4
{"formula": "TaFeRhCl2", "functional": "PBE-GGA", "state": "optimized geometry", "e_form_raw_mev_per_atom": 1383, "dft_energy_ev_per_cell": -24.44, "cell": [[4.5290, 0.0000, 0.0000], [0.0000, 4.5290, 0.0000], [0.0000, 0.0000, 4.7180]], "species": ["Ta", "Fe", "Rh", "Cl", "Cl"], "fractional_positions": [[0.0000, 0.0000, 0.0000], [0.5000, 0.5000, 0.0000], [0.5000, 0.5000, 0.5000], [0.0000, 0.5000, 0.5000], [0.5000, 0.0000, 0.5000]]}

---

No. 5
{"formula": "Hf3ZrC2", "functional": "PBE-GGA", "state": "optimized geometry", "ef_ev_per_atom": -0.6538, "dft_energy_ev_per_cell": -121.56, "cell": [[3.3019, 1.9063, 5.2930], [-3.3019, 1.9063, 5.2930], [0.0000, -3.8127, 5.2930]], "species": ["Hf", "Hf", "Hf", "Hf", "Hf", "Hf", "Zr", "Zr", "C", "C", "C", "C"], "fractional_positions": [[0.2456, 0.2456, 0.7426], [0.2456, 0.7426, 0.2456], [0.2574, 0.7544, 0.7544], [0.7426, 0.2456, 0.2456], [0.7544, 0.2574, 0.7544], [0.7544, 0.7544, 0.2574], [0.2513, 0.2513, 0.2513], [0.7487, 0.7487, 0.7487], [0.0000, 0.0000, 0.0000], [0.0000, 0.5000, 0.5000], [0.5000, 0.0000, 0.5000], [0.5000, 0.5000, 0.0000]]}

---

No. 6
{"formula": "ZrTeP2", "functional": "PBE-GGA", "state": "optimized geometry", "e_form_raw_mev_per_atom": 192, "dft_energy_ev_per_cell": -21.74, "cell": [[0.0000, 3.4094, 3.4094], [3.4094, 0.0000, 3.4094], [3.4094, 3.4094, 0.0000]], "species": ["Zr", "Te", "P", "P"], "fractional_positions": [[0.0000, 0.0000, 0.0000], [0.7500, 0.7500, 0.7500], [0.2500, 0.2500, 0.2500], [0.5000, 0.5000, 0.5000]]}

---

No. 7
{"formula": "LaMg2GaPd4", "functional": "PBE-GGA", "state": "optimized geometry", "ef_ev_per_atom": -0.6992, "dft_energy_ev_per_cell": -37.51, "cell": [[2.2239, 1.2840, 8.7834], [-2.2239, 1.2840, 8.7834], [0.0000, -2.5679, 8.7834]], "species": ["La", "Mg", "Mg", "Ga", "Pd", "Pd", "Pd", "Pd"], "fractional_positions": [[0.0000, 0.0000, 0.0000], [0.2368, 0.2368, 0.2368], [0.7632, 0.7632, 0.7632], [0.5000, 0.5000, 0.5000], [0.1333, 0.1333, 0.1333], [0.4024, 0.4024, 0.4024], [0.5976, 0.5976, 0.5976], [0.8667, 0.8667, 0.8667]]}

---

No. 8
{"formula": "MgReSb2I", "functional": "PBE-GGA", "state": "optimized geometry", "e_form_raw_mev_per_atom": 568, "dft_energy_ev_per_cell": -21.00, "cell": [[5.1024, 0.0000, 0.0000], [0.0000, 5.1024, 0.0000], [0.0000, 0.0000, 5.9912]], "species": ["Mg", "Re", "Sb", "Sb", "I"], "fractional_positions": [[0.0000, 0.0000, 0.0000], [0.5000, 0.5000, 0.5000], [0.0000, 0.5000, 0.5000], [0.5000, 0.0000, 0.5000], [0.5000, 0.5000, 0.0000]]}

---

No. 9
{"formula": "ThAgHgPt", "functional": "PBE-GGA", "state": "optimized geometry", "ef_ev_per_atom": -0.4579, "dft_energy_ev_per_cell": -18.45, "cell": [[0.0000, 3.5328, 3.5328], [3.5328, 0.0000, 3.5328], [3.5328, 3.5328, 0.0000]], "species": ["Th", "Ag", "Hg", "Pt"], "fractional_positions": [[0.0000, 0.0000, 0.0000], [0.7500, 0.7500, 0.7500], [0.5000, 0.5000, 0.5000], [0.2500, 0.2500, 0.2500]]}

---

No. 10
{"formula": "Ac2PuWN5", "functional": "PBE-GGA", "state": "optimized geometry", "e_form_raw_mev_per_atom": -1016, "dft_energy_ev_per_cell": -172.55, "cell": [[1.8114, -7.1415, 0.0000], [1.8114, 7.1415, 0.0000], [0.0000, 0.0000, 11.1584]], "species": ["Ac", "Ac", "Ac", "Ac", "Pu", "Pu", "W", "W", "N", "N", "N", "N", "N", "N", "N", "N", "N", "N"], "fractional_positions": [[0.1049, 0.8951, 0.5000], [0.1530, 0.8470, 0.1159], [0.8470, 0.1530, 0.6159], [0.8951, 0.1049, 0.0000], [0.2068, 0.7932, 0.8266], [0.7932, 0.2068, 0.3266], [0.4815, 0.5185, 0.2680], [0.5185, 0.4815, 0.7680], [0.0422, 0.9578, 0.8389], [0.2794, 0.7206, 0.4628], [0.3286, 0.6714, 0.2057], [0.3836, 0.6164, 0.8195], [0.4869, 0.5131, 0.6061], [0.5131, 0.4869, 0.1061], [0.6164, 0.3836, 0.3195], [0.6714, 0.3286, 0.7057], [0.7206, 0.2794, 0.9628], [0.9578, 0.0422, 0.3389]]}

---

No. 11
{"formula": "CaDyIn2Au4", "functional": "PBE-GGA", "state": "optimized geometry", "ef_ev_per_atom": -0.6517, "dft_energy_ev_per_cell": -30.40, "cell": [[2.4877, 1.4363, 8.0672], [-2.4877, 1.4363, 8.0672], [0.0000, -2.8725, 8.0672]], "species": ["Ca", "Dy", "In", "In", "Au", "Au", "Au", "Au"], "fractional_positions": [[0.0000, 0.0000, 0.0000], [0.5000, 0.5000, 0.5000], [0.2515, 0.2515, 0.2515], [0.7485, 0.7485, 0.7485], [0.1285, 0.1285, 0.1285], [0.3771, 0.3771, 0.3771], [0.6229, 0.6229, 0.6229], [0.8715, 0.8715, 0.8715]]}

---

No. 12
{"formula": "AcZn3Bi3", "functional": "PBE-GGA", "state": "optimized geometry", "ef_ev_per_atom": 0.0796, "dft_energy_ev_per_cell": -38.03, "cell": [[7.6854, 0.0000, 0.0000], [0.0000, 7.6854, 0.0000], [0.0000, 0.0000, 7.6854]], "species": ["Ac", "Ac", "Zn", "Zn", "Zn", "Zn", "Zn", "Zn", "Bi", "Bi", "Bi", "Bi", "Bi", "Bi"], "fractional_positions": [[0.0000, 0.0000, 0.0000], [0.5000, 0.5000, 0.5000], [0.0000, 0.2500, 0.5000], [0.0000, 0.7500, 0.5000], [0.2500, 0.5000, 0.0000], [0.5000, 0.0000, 0.2500], [0.5000, 0.0000, 0.7500], [0.7500, 0.5000, 0.0000], [0.0000, 0.5000, 0.2500], [0.0000, 0.5000, 0.7500], [0.2500, 0.0000, 0.5000], [0.5000, 0.2500, 0.0000], [0.5000, 0.7500, 0.0000], [0.7500, 0.0000, 0.5000]]}

---

Number 1: ρ 6.91 g/cm³, total magnetization 0.013 μB/atom. Number 2: ρ 2.13 g/cm³, total magnetization 1.200 μB/atom. Number 3: ρ 8.66 g/cm³, total magnetization 0.000 μB/atom. Number 4: ρ 7.05 g/cm³, total magnetization 0.373 μB/atom. Number 5: ρ 10.81 g/cm³, total magnetization 0.000 μB/atom. Number 6: ρ 5.88 g/cm³, total magnetization 0.000 μB/atom. Number 7: ρ 7.54 g/cm³, total magnetization 0.000 μB/atom. Number 8: ρ 6.18 g/cm³, total magnetization 0.000 μB/atom. Number 9: ρ 13.85 g/cm³, total magnetization 0.000 μB/atom. Number 10: ρ 10.95 g/cm³, total magnetization 0.548 μB/atom. Number 11: ρ 11.71 g/cm³, total magnetization 0.000 μB/atom. Number 12: ρ 7.68 g/cm³, total magnetization 0.000 μB/atom.